# 1
Here is a relaxed structure of CsRb2ZnAg from Alexandria via LeMat-Bulk. Energies are from PBE-GGA.

Properties
* Fermi-level density of states: 3.9 states/eV per cell
* calculated formation energy: 0.149 eV/atom
* energy above the most stable polymorph in this dataset: 0.000 eV per atom
* energy: -1.23 eV/atom
* magnetic moment: 0.00 μB per formula unit

a b c (Å): 6.987 6.987 5.390
angles (deg): 90.00 90.00 90.00
Space group P4/mmm (No. 123)
Asymmetric unit:
Cs 0.000 0.000 0.000 (multiplicity 1)
Rb 0.000 0.500 0.500 (multiplicity 2)
Zn 0.500 0.500 0.000 (multiplicity 1)
Ag 0.500 0.500 0.500 (multiplicity 1)

---

# 2
Here is a relaxed structure of CsRe2Ag from Alexandria via LeMat-Bulk. Energies are from PBE-GGA.

Properties
* Fermi-level density of states: 22.4 states/eV per cell
* calculated formation energy: 1.754 eV/atom
* energy above the most stable polymorph in this dataset: 0.000 eV per atom
* energy: -5.40 eV/atom
* magnetic moment: 0.00 μB per formula unit

a b c (Å): 4.211 4.211 21.629
angles (deg): 90.00 90.00 90.00
Space group I-42d (No. 122)
Asymmetric unit:
Cs 0.000 0.000 0.000 (multiplicity 4)
Re 0.148 0.250 0.625 (multiplicity 8)
Ag 0.000 0.000 0.500 (multiplicity 4)

---

# 3
Here is a relaxed structure of CsRe2Ag from Alexandria via LeMat-Bulk. Energies are from PBE-GGA.

Properties
* Fermi-level density of states: 18.2 states/eV per cell
* calculated formation energy: 2.455 eV/atom
* energy above the most stable polymorph in this dataset: 0.701 eV per atom
* energy: -4.70 eV/atom
* magnetic moment: 0.00 μB per formula unit

a b c (Å): 6.698 6.698 6.698
angles (deg): 90.00 90.00 90.00
Space group Fm-3m (No. 225)
Asymmetric unit:
Cs 0.000 0.000 0.000 (multiplicity 4)
Re 0.250 0.250 0.250 (multiplicity 8)
Ag 0.000 0.000 0.500 (multiplicity 4)

---

# 4
Here is a relaxed structure of Cs3ReAg from Alexandria via LeMat-Bulk. Energies are from PBE-GGA.

Properties
* Fermi-level density of states: 4.8 states/eV per cell
* calculated formation energy: 1.374 eV/atom
* energy above the most stable polymorph in this dataset: 0.000 eV per atom
* energy: -2.20 eV/atom
* magnetic moment: 0.00 μB per formula unit

a b c (Å): 6.077 6.077 6.077
angles (deg): 90.00 90.00 90.00
Space group Pm-3m (No. 221)
Asymmetric unit:
Cs 0.000 0.000 0.500 (multiplicity 3)
Re 0.000 0.000 0.000 (multiplicity 1)
Ag 0.500 0.500 0.500 (multiplicity 1)

---

# 5
Here is a relaxed structure of CsReAg2 from Alexandria via LeMat-Bulk. Energies are from PBE-GGA.

Properties
* Fermi-level density of states: 16.1 states/eV per cell
* calculated formation energy: 1.603 eV/atom
* energy: -3.15 eV/atom
* magnetic moment: 3.57 μB per formula unit

a b c (Å): 7.459 7.459 7.459
angles (deg): 90.00 90.00 90.00
Space group Fm-3m (No. 225)
Asymmetric unit:
Cs 0.000 0.000 0.000 (multiplicity 4)
Re 0.000 0.000 0.500 (multiplicity 4)
Ag 0.250 0.250 0.250 (multiplicity 8)

---

# 6
Here is a relaxed structure of Cs3AgRh from Alexandria via LeMat-Bulk. Energies are from PBE-GGA.

Properties
* Fermi-level density of states: 3.0 states/eV per cell
* calculated formation energy: 0.409 eV/atom
* energy above the most stable polymorph in this dataset: 0.000 eV per atom
* energy: -2.14 eV/atom
* magnetic moment: 0.00 μB per formula unit

a b c (Å): 6.178 6.178 6.178
angles (deg): 90.00 90.00 90.00
Space group Pm-3m (No. 221)
Asymmetric unit:
Cs 0.000 0.000 0.500 (multiplicity 3)
Ag 0.500 0.500 0.500 (multiplicity 1)
Rh 0.000 0.000 0.000 (multiplicity 1)